1.
Crystalline Ba2Pb at its relaxed geometry, computed with GGA-PBEsol.

a = 5.687 Å, b = 5.687 Å, c = 4.271 Å
α = 90.00°, β = 90.00°, γ = 120.00°
Sites, in units of the cell vectors:
1 Ba 0.333 0.667 0.190
2 Ba 0.667 0.333 0.810
3 Pb 0.000 0.000 0.500

Summary:
SG   P-3m1
Formation energy   -1.25 eV per formula unit



2.
Crystalline SrAcHg2 at its relaxed geometry, computed with GGA-PBEsol.

a = 5.568 Å, b = 5.568 Å, c = 5.568 Å
α = 60.00°, β = 60.00°, γ = 60.00°
Sites, in units of the cell vectors:
1 Sr 0.000 0.000 0.000
2 Ac 0.500 0.500 0.500
3 Hg 0.250 0.250 0.250
4 Hg 0.750 0.750 0.750

Summary:
SG   Fm-3m
Formation energy   -2.32 eV per formula unit



3.
Crystalline MgFeSe2 at its relaxed geometry, computed with GGA-PBEsol.

a = 6.680 Å, b = 6.680 Å, c = 6.680 Å
α = 150.69°, β = 149.70°, γ = 42.66°
Sites, in units of the cell vectors:
1 Mg 0.000 0.000 0.000
2 Fe 0.746 0.246 0.500
3 Se 0.327 0.827 0.500
4 Se 0.594 0.594 0.000

Summary:
Formation energy without anion corrections   -388 meV/atom
SG   Imm2



4.
Crystalline Bi2Se2Cl7 at its relaxed geometry, computed with GGA-PBEsol.

a = 10.714 Å, b = 10.714 Å, c = 9.968 Å
α = 90.00°, β = 90.00°, γ = 90.00°
Sites, in units of the cell vectors:
1 Bi 0.017 0.649 0.151
2 Bi 0.149 0.983 0.849
3 Bi 0.351 0.517 0.849
4 Bi 0.483 0.851 0.151
5 Bi 0.517 0.149 0.849
6 Bi 0.649 0.483 0.151
7 Bi 0.851 0.017 0.151
8 Bi 0.983 0.351 0.849
9 Se 0.126 0.342 0.397
10 Se 0.158 0.126 0.397
11 Se 0.342 0.374 0.397
12 Se 0.374 0.158 0.397
13 Se 0.626 0.842 0.603
14 Se 0.658 0.626 0.603
15 Se 0.842 0.874 0.603
16 Se 0.874 0.658 0.603
17 Cl 0.015 0.881 0.285
18 Cl 0.050 0.142 0.059
19 Cl 0.108 0.843 0.639
20 Cl 0.119 0.515 0.715
21 Cl 0.142 0.450 0.059
22 Cl 0.157 0.608 0.361
23 Cl 0.250 0.250 0.820
24 Cl 0.250 0.750 0.000
25 Cl 0.343 0.892 0.361
26 Cl 0.358 0.050 0.059
27 Cl 0.381 0.985 0.715
28 Cl 0.392 0.657 0.639
29 Cl 0.450 0.358 0.059
30 Cl 0.485 0.619 0.285
31 Cl 0.515 0.381 0.715
32 Cl 0.550 0.642 0.941
33 Cl 0.608 0.343 0.361
34 Cl 0.619 0.015 0.285
35 Cl 0.642 0.950 0.941
36 Cl 0.657 0.108 0.639
37 Cl 0.750 0.250 0.000
38 Cl 0.750 0.750 0.180
39 Cl 0.843 0.392 0.639
40 Cl 0.858 0.550 0.941
41 Cl 0.881 0.485 0.285
42 Cl 0.892 0.157 0.361
43 Cl 0.950 0.858 0.941
44 Cl 0.985 0.119 0.715

Summary:
Formation energy without anion corrections   -735 meV/atom
SG   P4/n



5.
Crystalline Sr2MnTeO6 at its relaxed geometry, computed with GGA-PBEsol.

a = 5.675 Å, b = 5.662 Å, c = 9.800 Å
α = 90.00°, β = 125.31°, γ = 90.00°
Sites, in units of the cell vectors:
1 Sr 0.246 0.024 0.250
2 Sr 0.246 0.476 0.750
3 Sr 0.754 0.524 0.250
4 Sr 0.754 0.976 0.750
5 Mn 0.500 0.000 0.000
6 Mn 0.500 0.500 0.500
7 Te 0.000 0.000 0.500
8 Te 0.000 0.500 0.000
9 O 0.179 0.230 0.968
10 O 0.179 0.270 0.468
11 O 0.236 0.714 0.968
12 O 0.236 0.786 0.468
13 O 0.301 0.010 0.741
14 O 0.301 0.490 0.241
15 O 0.699 0.510 0.759
16 O 0.699 0.990 0.259
17 O 0.764 0.214 0.532
18 O 0.764 0.286 0.032
19 O 0.821 0.730 0.532
20 O 0.821 0.770 0.032

Summary:
Formation energy without anion corrections   -2055 meV/atom
SG   P2_1/c



6.
Crystalline Be2AlFe at its relaxed geometry, computed with GGA-PBEsol.

a = 4.390 Å, b = 4.390 Å, c = 4.390 Å
α = 141.59°, β = 130.64°, γ = 64.23°
Sites, in units of the cell vectors:
1 Be 0.237 0.237 0.000
2 Be 0.763 0.763 0.000
3 Al 0.500 0.000 0.500
4 Fe 0.000 0.500 0.500

Summary:
SG   Immm
Formation energy   -0.80 eV per formula unit



7.
Crystalline Be3SnW at its relaxed geometry, computed with GGA-PBEsol.

a = 4.336 Å, b = 4.336 Å, c = 4.336 Å
α = 90.00°, β = 90.00°, γ = 90.00°
Sites, in units of the cell vectors:
1 Be 0.000 0.000 0.500
2 Be 0.000 0.500 0.000
3 Be 0.500 0.000 0.000
4 Sn 0.000 0.000 0.000
5 W 0.500 0.500 0.500

Summary:
SG   Pm-3m
Formation energy   9.89 eV per formula unit



8.
Crystalline BeZnS2Cl at its relaxed geometry, computed with GGA-PBEsol.

a = 4.358 Å, b = 4.358 Å, c = 4.316 Å
α = 90.00°, β = 90.00°, γ = 90.00°
Sites, in units of the cell vectors:
1 Be 0.000 0.000 0.000
2 Zn 0.500 0.500 0.500
3 S 0.000 0.500 0.000
4 S 0.500 0.000 0.000
5 Cl 0.000 0.000 0.500

Summary:
Formation energy without anion corrections   59 meV/atom
SG   P4/mmm



Going through the records in order, we get DFT total energy values of -3.18 -2.45 -4.98 -3.49 -6.90 -5.46 -4.04 -3.21 eV per atom.